No. 1
The following is a PBE calculation of KBaSi2 after structural relaxation, from Alexandria via LeMat-Bulk.

As for the space-group type: No. 123. The distance to the lowest polymorph of the same formula comes out at 488 meV/atom. Its formation energy (no corrections) is 0.31 eV per atom.

Cell lengths 4.8199, 4.8199, 4.9490 Å; angles 90.00, 90.00, 90.00 degrees
With the nearest neighbours (Å) after each atom.
Fractional positions:
K: 0.0000 0.0000 0.0000  4 Ba 3.41, 8 Si 3.45
Ba: 0.5000 0.5000 0.0000  4 K 3.41, 8 Si 3.45
Si: 0.0000 0.5000 0.5000  4 Si 3.41, 4 Ba 3.45, 4 K 3.45
Si: 0.5000 0.0000 0.5000  4 Si 3.41, 4 Ba 3.45, 4 K 3.45

=====

No. 2
The following is a PBE calculation of Sr2YMo after structural relaxation, from Alexandria via LeMat-Bulk.

As for the space-group type: No. 122. The distance to the lowest polymorph of the same formula comes out at 442 meV/atom. The energy of formation comes out at 0.9604 eV per atom.

Cell lengths 11.3998, 11.3998, 5.2299 Å; angles 90.00, 90.00, 90.00 degrees
With the nearest neighbours (Å) after each atom.
Fractional positions:
Sr: 0.1052 0.2500 0.1250  2 Mo 3.16
Sr: 0.2500 0.6052 0.3750  2 Mo 3.16
Sr: 0.2500 0.8948 0.8750  2 Mo 3.16
Sr: 0.3948 0.2500 0.6250  2 Mo 3.16
Sr: 0.6052 0.7500 0.6250  2 Mo 3.16
Sr: 0.7500 0.1052 0.8750  2 Mo 3.16
Sr: 0.7500 0.3948 0.3750  2 Mo 3.16
Sr: 0.8948 0.7500 0.1250  2 Mo 3.16
Y: 0.0000 0.0000 0.5000  2 Mo 2.61
Y: 0.0000 0.5000 0.7500  2 Mo 2.61
Y: 0.5000 0.0000 0.2500  2 Mo 2.61
Y: 0.5000 0.5000 0.0000  2 Mo 2.61
Mo: 0.0000 0.0000 0.0000  2 Y 2.61
Mo: 0.0000 0.5000 0.2500  2 Y 2.61
Mo: 0.5000 0.0000 0.7500  2 Y 2.61
Mo: 0.5000 0.5000 0.5000  2 Y 2.61

=====

No. 3
The following is a PBE calculation of Ac3ZnAu2 after structural relaxation, from Alexandria via LeMat-Bulk.

As for the space-group type: No. 123. The energy of formation comes out at -0.6072 eV per atom.

Cell lengths 3.9242, 3.9242, 11.6721 Å; angles 90.00, 90.00, 90.00 degrees
With the nearest neighbours (Å) after each atom.
Fractional positions:
Ac: 0.0000 0.0000 0.0000  8 Au 3.40
Ac: 0.0000 0.0000 0.3322  4 Au 3.37, 4 Zn 3.40
Ac: 0.0000 0.0000 0.6678  4 Au 3.37, 4 Zn 3.40
Zn: 0.5000 0.5000 0.5000  8 Ac 3.40
Au: 0.5000 0.5000 0.1688  8 Ac 3.37-3.40
Au: 0.5000 0.5000 0.8312  8 Ac 3.37-3.40

=====

No. 4
The following is a PBE calculation of RbPAu2S4 after structural relaxation, from Alexandria via LeMat-Bulk.

As for the space-group type: No. 23. Its formation energy (no corrections) is -0.44 eV per atom.

Cell lengths 6.1574, 8.2059, 8.7711 Å; angles 90.00, 90.00, 90.00 degrees
With the nearest neighbours (Å) after each atom.
Fractional positions:
Rb: 0.0000 0.0000 0.0000  8 S 3.58-3.66
Rb: 0.5000 0.5000 0.5000  8 S 3.58-3.66
P: 0.0000 0.0000 0.5000  4 S 2.09
P: 0.5000 0.5000 0.0000  4 S 2.09
Au: 0.0000 0.5000 0.1680  2 S 2.34
Au: 0.0000 0.5000 0.8320  2 S 2.34
Au: 0.5000 0.0000 0.3320  2 S 2.34
Au: 0.5000 0.0000 0.6680  2 S 2.34
S: 0.1821 0.1541 0.3599  1 P 2.09
S: 0.1821 0.8459 0.6401  1 P 2.09
S: 0.3179 0.3459 0.8599  1 P 2.09
S: 0.3179 0.6541 0.1401  1 P 2.09
S: 0.6821 0.3459 0.1401  1 P 2.09
S: 0.6821 0.6541 0.8599  1 P 2.09
S: 0.8179 0.1541 0.6401  1 P 2.09
S: 0.8179 0.8459 0.3599  1 P 2.09